## i
Material: Co2MoPt
Method: DFT, PBE-GGA
State: optimized geometry

Values from the calculation:
Total magnetic moment = 0.47 μB per cell
Crystal system = tetragonal
Volume = 12.97 Å³ per atom
Density = 13.087 g/cm³

Lattice parameters (Å, degrees): 3.808 3.808 3.578 90.00 90.00 90.00
Sites, in units of the cell vectors:
Co (0.000, 0.500, 0.000)
Co (0.500, 0.000, 0.000)
Mo (0.000, 0.000, 0.500)
Pt (0.500, 0.500, 0.500)

## ii
Material: Co2MoPt
Method: DFT, PBE-GGA
State: optimized geometry

Values from the calculation:
Total magnetic moment = 0.00 μB per cell
Crystal system = tetragonal
Volume = 14.26 Å³ per atom
Density = 11.906 g/cm³

Lattice parameters (Å, degrees): 5.340 5.340 5.340 104.35 104.35 120.28
Sites, in units of the cell vectors:
Co (0.100, 0.625, 0.975)
Co (0.375, 0.350, 0.475)
Co (0.650, 0.125, 0.025)
Co (0.875, 0.900, 0.525)
Mo (0.000, 0.000, 0.000)
Mo (0.750, 0.250, 0.500)
Pt (0.250, 0.750, 0.500)
Pt (0.500, 0.500, 0.000)

Stability comparison, relative energies in meV/atom: i 0; ii 485

## i
Material: Co2MoPt
Method: DFT, PBE-GGA
State: optimized geometry

Values from the calculation:
Total magnetic moment = 3.33 μB per cell
Crystal system = tetragonal
Volume = 13.31 Å³ per atom
Density = 12.750 g/cm³

Lattice parameters (Å, degrees): 2.694 2.694 7.340 90.00 90.00 90.00
Sites, in units of the cell vectors:
Co (0.000, 0.000, 0.000)
Co (0.500, 0.500, 0.208)
Mo (0.000, 0.000, 0.458)
Pt (0.500, 0.500, 0.739)

## ii
Material: Co2MoPt
Method: DFT, PBE-GGA
State: optimized geometry

Values from the calculation:
Total magnetic moment = 2.43 μB per cell
Crystal system = monoclinic
Volume = 13.26 Å³ per atom
Density = 12.802 g/cm³

Lattice parameters (Å, degrees): 4.630 4.630 4.532 100.62 100.62 33.81
Sites, in units of the cell vectors:
Co (0.000, 0.000, 0.000)
Co (0.738, 0.738, 0.224)
Mo (0.491, 0.491, 0.470)
Pt (0.248, 0.248, 0.739)

Stability comparison, relative energies in meV/atom: i 0; ii 43